1.
Compound: PrNpNiSe4
Source: Alexandria via LeMat-Bulk
Functional: GGA-PBE
Structure: optimized geometry

The structure belongs to space group P2_1/m (No. 11); the cell edges are 6.9230, 5.9045 and 8.2370 Å and the angles 90.00°, 106.81° and 90.00°. Symmetry generates all atoms from Pr at (0.2390, 0.2500, 0.4311), Np at (0.2401, 0.2500, 0.9403), Ni at (0.2528, 0.7500, 0.1819), Se at (0.0708, 0.7500, 0.3833), Se at (0.0795, 0.7500, 0.8965) and Se at (0.4835, 0.5076, 0.7548).

The total magnetic moment comes out at 3.2 μB/f.u. Its formation energy without anion corrections is -1137.8 meV/atom. The calculation puts the total energy at -6.486 eV per atom. As for the calculated volume: 322.3 Å³ per cell.

2.
Compound: CsU2F8
Source: Alexandria via LeMat-Bulk
Functional: GGA-PBE
Structure: optimized geometry

The structure belongs to space group C2/m (No. 12); the cell edges are 7.3217, 11.4614 and 4.5716 Å and the angles 90.00°, 97.02° and 90.00°. Symmetry generates all atoms from Cs at (0.0000, 0.0000, 0.0000), U at (0.0000, 0.3260, 0.5000), F at (0.0000, 0.2783, 0.0000), F at (0.0895, 0.5000, 0.7533) and F at (0.1893, 0.1500, 0.5514).

The total magnetic moment comes out at 5.0 μB/f.u. Its formation energy without anion corrections is -3471.6 meV/atom. The calculation puts the total energy at -6.963 eV per atom. As for the calculated volume: 380.8 Å³ per cell.

3.
Compound: Na2AlZn4Ge3
Source: Alexandria via LeMat-Bulk
Functional: GGA-PBE
Structure: optimized geometry

The structure belongs to space group P-4m2 (No. 115); the cell edges are 4.1035, 4.1035 and 11.4469 Å and the angles 90.00°, 90.00° and 90.00°. Symmetry generates all atoms from Na at (0.0000, 0.5000, 0.2448), Al at (0.0000, 0.0000, 0.5000), Zn at (0.0000, 0.0000, 0.0000), Zn at (0.0000, 0.5000, 0.6460), Zn at (0.5000, 0.5000, 0.0000), Ge at (0.0000, 0.5000, 0.8623) and Ge at (0.5000, 0.5000, 0.5000).

The total magnetic moment comes out at 0.0 μB/f.u. The calculation puts the total energy at -2.602 eV per atom. The calculation puts the formation energy at -6.7 kJ/mol of atoms. As for the calculated volume: 192.7 Å³ per cell.

4.
Compound: RbCa2S2
Source: Alexandria via LeMat-Bulk
Functional: GGA-PBE
Structure: optimized geometry

The structure belongs to space group I4/mmm (No. 139); the cell edges are 5.3166, 5.3166 and 16.3136 Å and the angles 90.00°, 90.00° and 90.00°. Symmetry generates all atoms from Rb at (0.0000, 0.0000, 0.0000), Ca at (0.0000, 0.5000, 0.2500) and S at (0.0000, 0.0000, 0.2059).

The total magnetic moment comes out at 0.0 μB/f.u. Its formation energy without anion corrections is -1438.0 meV/atom. The calculation puts the total energy at -4.083 eV per atom. As for the calculated volume: 461.1 Å³ per cell.

5.
Compound: Tl2CdSnPb4
Source: Alexandria via LeMat-Bulk
Functional: GGA-PBE
Structure: optimized geometry

The structure belongs to space group P2/m (No. 10); the cell edges are 7.9472, 4.2981 and 7.9884 Å and the angles 90.00°, 107.32° and 90.00°. Symmetry generates all atoms from Tl at (0.0000, 0.0000, 0.0000), Tl at (0.0000, 0.5000, 0.5000), Cd at (0.5000, 0.0000, 0.5000), Sn at (0.5000, 0.5000, 0.0000), Pb at (0.2790, 0.0000, 0.7567) and Pb at (0.2822, 0.5000, 0.2628).

The total magnetic moment comes out at 0.0 μB/f.u. The calculation puts the total energy at -2.906 eV per atom. The calculation puts the formation energy at 14.9 kJ/mol of atoms. As for the calculated volume: 260.5 Å³ per cell.

6.
Compound: CaGa2CuAu4
Source: Alexandria via LeMat-Bulk
Functional: GGA-PBE
Structure: optimized geometry

The structure belongs to space group R-3m (No. 166, hexagonal axes); the cell edges are 4.4704, 4.4704 and 26.5156 Å and the angles 90.00°, 90.00° and 120.00°. Symmetry generates all atoms from Ca at (0.0000, 0.0000, 0.0000), Ga at (0.0000, 0.0000, 0.2451), Cu at (0.0000, 0.0000, 0.5000), Au at (0.0000, 0.0000, 0.1361) and Au at (0.0000, 0.0000, 0.3994).

The total magnetic moment comes out at 0.0 μB/f.u. The calculation puts the total energy at -3.499 eV per atom. The calculation puts the formation energy at -32.9 kJ/mol of atoms. As for the calculated volume: 458.9 Å³ per cell.

7.
Compound: Rb3HgPb4
Source: Alexandria via LeMat-Bulk
Functional: GGA-PBE
Structure: optimized geometry

The structure belongs to space group Pmmn (No. 59, origin choice 2); the cell edges are 7.2816, 13.7738 and 7.0114 Å and the angles 90.00°, 90.00° and 90.00°. Symmetry generates all atoms from Rb at (0.2500, 0.0013, 0.1831), Rb at (0.2500, 0.2500, 0.5550), Hg at (0.2500, 0.7500, 0.2998), Pb at (0.0140, 0.2500, 0.0457) and Pb at (0.2500, 0.6322, 0.6862).

The total magnetic moment comes out at 0.0 μB/f.u. The calculation puts the total energy at -2.445 eV per atom. The calculation puts the formation energy at -18.4 kJ/mol of atoms. As for the calculated volume: 703.2 Å³ per cell.

8.
Compound: KCa2AsBr8
Source: Alexandria via LeMat-Bulk
Functional: GGA-PBE
Structure: optimized geometry

The structure belongs to space group P-1 (No. 2); the cell edges are 6.6036, 6.8962 and 8.9859 Å and the angles 89.98°, 89.96° and 89.52°. Symmetry generates all atoms from K at (0.0000, 0.0000, 0.0000), Ca at (0.4999, 0.5000, 0.2520), As at (0.0000, 0.0000, 0.5000), Br at (0.2361, 0.8450, 0.2899), Br at (0.2356, 0.8445, 0.7099), Br at (0.2440, 0.3261, 0.5001) and Br at (0.2681, 0.3726, 0.0001).

The total magnetic moment comes out at 0.0 μB/f.u. Its formation energy without anion corrections is -1381.9 meV/atom. The calculation puts the total energy at -3.310 eV per atom. As for the calculated volume: 409.2 Å³ per cell.

Repeat the third record exactly.
Compound: Na2AlZn4Ge3
Source: Alexandria via LeMat-Bulk
Functional: GGA-PBE
Structure: optimized geometry

The structure belongs to space group P-4m2 (No. 115); the cell edges are 4.1035, 4.1035 and 11.4469 Å and the angles 90.00°, 90.00° and 90.00°. Symmetry generates all atoms from Na at (0.0000, 0.5000, 0.2448), Al at (0.0000, 0.0000, 0.5000), Zn at (0.0000, 0.0000, 0.0000), Zn at (0.0000, 0.5000, 0.6460), Zn at (0.5000, 0.5000, 0.0000), Ge at (0.0000, 0.5000, 0.8623) and Ge at (0.5000, 0.5000, 0.5000).

The total magnetic moment comes out at 0.0 μB/f.u. The calculation puts the total energy at -2.602 eV per atom. The calculation puts the formation energy at -6.7 kJ/mol of atoms. As for the calculated volume: 192.7 Å³ per cell.

Look up the total magnetic moment of the first one. 3.2 μB/f.u.